(1)
# Li2Ce3Hg4

A relaxed Li2Ce3Hg4 crystal (PBE, the Alexandria database).

Properties
electronic total energy: -0.104 hartree per atom
calculated density: 9.61 g/cm³
formation energy: -0.3042 eV per atom
volume: 23.7 A^3/atom

Cell: 5.9945 5.9945 9.3046 Å, 119.50 119.50 49.55°
Last column: nearest neighbours and their distance in Å.
Atoms (fractional coordinates):
Li: 0.1241 0.1241 0.2891  4 Hg 2.77-3.04
Li: 0.8759 0.8759 0.7109  4 Hg 2.77-3.04
Ce: 0.1504 0.1504 0.6607  1 Ce 3.01, 4 Li 3.26-3.36, 7 Hg 3.31-3.33
Ce: 0.5000 0.5000 0.0000  8 Hg 3.26-3.46, 2 Ce 3.38, 4 Li 3.38
Ce: 0.8496 0.8496 0.3393  1 Ce 3.01, 4 Li 3.26-3.36, 7 Hg 3.31-3.33
Hg: 0.2139 0.2139 0.0621  1 Li 2.77, 2 Hg 3.04
Hg: 0.4296 0.4296 0.6113  3 Li 2.85-3.04, 1 Hg 3.17
Hg: 0.5704 0.5704 0.3887  3 Li 2.85-3.04, 1 Hg 3.17
Hg: 0.7861 0.7861 0.9379  1 Li 2.77, 2 Hg 3.04

(2)
# Be2NbNi

A relaxed Be2NbNi crystal (PBE, the Alexandria database).

Properties
electronic total energy: -0.221 hartree per atom
calculated density: 6.17 g/cm³
formation energy: -0.1826 eV per atom
volume: 11.4 A^3/atom
polymorph energy (0 for the lowest one): 99 meV/atom

Cell: 4.5920 4.5920 4.5920 Å, 45.96 45.96 45.96°
Last column: nearest neighbours and their distance in Å.
Atoms (fractional coordinates):
Be: 0.2106 0.2106 0.2106  3 Ni 2.14, 3 Be 2.33
Be: 0.7894 0.7894 0.7894  3 Ni 2.14, 3 Be 2.33
Nb: 0.0000 0.0000 0.0000  8 Be 2.56-2.59
Ni: 0.5000 0.5000 0.5000  6 Be 2.14

(3)
# KReAs2

A relaxed KReAs2 crystal (PBE, the Alexandria database).

Properties
electronic total energy: -0.207 hartree per atom
calculated density: 4.54 g/cm³
formation energy: 0.0648 eV per atom
volume: 34.3 A^3/atom
polymorph energy (0 for the lowest one): 163 meV/atom

Cell: 7.5864 7.5864 7.5864 Å, 126.23 126.23 79.51°
Last column: nearest neighbours and their distance in Å.
Atoms (fractional coordinates):
K: 0.0000 0.0000 0.0000  4 As 3.61
K: 0.7500 0.2500 0.5000  4 As 3.61
Re: 0.2500 0.7500 0.5000  4 As 2.33
Re: 0.5000 0.5000 0.0000  4 As 2.33
As: 0.2857 0.6250 0.1607  2 Re 2.33
As: 0.3750 0.5357 0.6607  2 Re 2.33
As: 0.4643 0.1250 0.8393  2 Re 2.33
As: 0.8750 0.7143 0.3393  2 Re 2.33

(4)
# Ho3ThTl4Se8

A relaxed Ho3ThTl4Se8 crystal (PBE, the Alexandria database).

Properties
electronic total energy: -0.183 hartree per atom
calculated density: 7.56 g/cm³
volume: 29.9 A^3/atom
formation energy (no corrections): -1.32 eV per atom

Cell: 9.2737 9.2737 9.2737 Å, 53.48 53.48 53.48°
Last column: nearest neighbours and their distance in Å.
Atoms (fractional coordinates):
Ho: 0.0000 0.5000 0.5000  6 Se 2.88-2.89
Ho: 0.5000 0.0000 0.5000  6 Se 2.88-2.89
Ho: 0.5000 0.5000 0.0000  6 Se 2.88-2.89
Th: 0.0000 0.0000 0.0000  6 Se 2.93
Tl: 0.0000 0.0000 0.5000  6 Se 3.37-3.39
Tl: 0.0000 0.5000 0.0000  6 Se 3.37-3.39
Tl: 0.5000 0.0000 0.0000  6 Se 3.37-3.39
Tl: 0.5000 0.5000 0.5000  6 Se 3.34
Se: 0.2371 0.2371 0.7303  2 Ho 2.89, 1 Th 2.93
Se: 0.2371 0.7303 0.2371  2 Ho 2.89, 1 Th 2.93
Se: 0.2668 0.2668 0.2668  3 Ho 2.88
Se: 0.2697 0.7629 0.7629  2 Ho 2.89, 1 Th 2.93
Se: 0.7303 0.2371 0.2371  2 Ho 2.89, 1 Th 2.93
Se: 0.7332 0.7332 0.7332  3 Ho 2.88
Se: 0.7629 0.2697 0.7629  2 Ho 2.89, 1 Th 2.93
Se: 0.7629 0.7629 0.2697  2 Ho 2.89, 1 Th 2.93

(5)
# Dy3Er5Sb8

A relaxed Dy3Er5Sb8 crystal (PBE, the Alexandria database).

Properties
electronic total energy: -0.201 hartree per atom
calculated density: 8.12 g/cm³
volume: 29.4 A^3/atom
formation energy (no corrections): -1.11 eV per atom

Cell: 8.7283 8.7283 8.7283 Å, 60.00 60.00 60.00°
Last column: nearest neighbours and their distance in Å.
Atoms (fractional coordinates):
Dy: 0.0000 0.5000 0.5000  6 Sb 3.10
Dy: 0.5000 0.0000 0.5000  6 Sb 3.10
Dy: 0.5000 0.5000 0.0000  6 Sb 3.10
Er: 0.0000 0.0000 0.0000  6 Sb 3.09
Er: 0.0000 0.0000 0.5000  6 Sb 3.08
Er: 0.0000 0.5000 0.0000  6 Sb 3.08
Er: 0.5000 0.0000 0.0000  6 Sb 3.08
Er: 0.5000 0.5000 0.5000  6 Sb 3.09
Sb: 0.2492 0.2492 0.2492  3 Er 3.08, 3 Dy 3.10
Sb: 0.2485 0.7500 0.7500  4 Er 3.08-3.09, 2 Dy 3.10
Sb: 0.2500 0.2500 0.7515  4 Er 3.08-3.09, 2 Dy 3.10
Sb: 0.2500 0.7515 0.2500  4 Er 3.08-3.09, 2 Dy 3.10
Sb: 0.7500 0.2485 0.7500  4 Er 3.08-3.09, 2 Dy 3.10
Sb: 0.7500 0.7500 0.2485  4 Er 3.08-3.09, 2 Dy 3.10
Sb: 0.7515 0.2500 0.2500  4 Er 3.08-3.09, 2 Dy 3.10
Sb: 0.7508 0.7508 0.7508  3 Er 3.08, 3 Dy 3.10

(6)
# CrIrS2Cl

A relaxed CrIrS2Cl crystal (PBE, the Alexandria database).

Properties
electronic total energy: -0.178 hartree per atom
calculated density: 6.55 g/cm³
volume: 17.4 A^3/atom
polymorph energy (0 for the lowest one): 363 meV/atom
formation energy (no corrections): 0.87 eV per atom

Cell: 4.5296 4.5296 4.2482 Å, 90.00 90.00 90.00°
Last column: nearest neighbours and their distance in Å.
Atoms (fractional coordinates):
Cr: 0.0000 0.0000 0.0000  2 Cl 2.12, 4 S 2.26
Ir: 0.5000 0.5000 0.5000  8 S 3.11, 4 Cl 3.20
S: 0.0000 0.5000 0.0000  2 Cr 2.26
S: 0.5000 0.0000 0.0000  2 Cr 2.26
Cl: 0.0000 0.0000 0.5000  2 Cr 2.12

(7)
# HoCdIr

A relaxed HoCdIr crystal (PBE, the Alexandria database).

Properties
electronic total energy: -0.191 hartree per atom
calculated density: 12.59 g/cm³
formation energy: -0.4019 eV per atom
volume: 20.6 A^3/atom

Cell: 5.4344 5.4344 5.4344 Å, 141.42 141.42 55.70°
Last column: nearest neighbours and their distance in Å.
Atoms (fractional coordinates):
Ho: 0.0000 0.0000 0.0000  4 Ir 2.89, 5 Cd 2.95-3.15
Cd: 0.3068 0.3068 0.0000  5 Ho 2.95-3.15, 5 Ir 2.99-3.23
Ir: 0.6433 0.6433 0.0000  4 Ho 2.89, 5 Cd 2.99-3.23

(8)
# RbPuPdSe3

A relaxed RbPuPdSe3 crystal (PBE, the Alexandria database).

Properties
electronic total energy: -0.229 hartree per atom
calculated density: 6.18 g/cm³
volume: 30.1 A^3/atom
formation energy (no corrections): -1.07 eV per atom

Cell: 9.1519 4.2421 9.8685 Å, 90.00 109.37 90.00°
Last column: nearest neighbours and their distance in Å.
Atoms (fractional coordinates):
Rb: 0.2048 0.2500 0.2454  7 Se 3.54-3.63, 1 Pd 3.89
Rb: 0.7952 0.7500 0.7546  7 Se 3.54-3.63, 1 Pd 3.89
Pu: 0.3199 0.7500 0.8483  6 Se 2.82-2.89
Pu: 0.6801 0.2500 0.1517  6 Se 2.82-2.89
Pd: 0.0850 0.2500 0.5883  4 Se 2.51-2.64
Pd: 0.9150 0.7500 0.4117  4 Se 2.51-2.64
Se: 0.1243 0.2500 0.8662  1 Pd 2.64, 2 Pu 2.82
Se: 0.2100 0.7500 0.5458  3 Pd 2.51-2.58
Se: 0.4671 0.7500 0.1539  3 Pu 2.87-2.89
Se: 0.5329 0.2500 0.8461  3 Pu 2.87-2.89
Se: 0.7900 0.2500 0.4542  3 Pd 2.51-2.58
Se: 0.8757 0.7500 0.1338  1 Pd 2.64, 2 Pu 2.82